# 1
## Li2NdBO4 (PBE)

Data for a relaxed Li2NdBO4 crystal.

Calculated values
Crystal system   orthorhombic
E_form (uncorrected)   -2.312 eV per atom
Final energy   -214.4 eV/cell

Unit cell a=3.2394 b=10.5632 c=9.5488 alpha=90.00 beta=90.00 gamma=90.00
Last column: nearest neighbours and their distance in Å.
Space group Cmcm (No. 63)
Symmetry-distinct sites (fractional):
Li 0.0000 0.1220 0.0395 (multiplicity 8)  4 O 1.89-2.10
Nd 0.0000 0.4391 0.2500 (multiplicity 4)  8 O 2.41-2.60
B 0.0000 0.2804 0.7500 (multiplicity 4)  2 O 1.34
O 0.0000 0.1085 0.2500 (multiplicity 4)  2 B 2.00, 2 Li 2.02
O 0.0000 0.2187 0.6276 (multiplicity 8)  1 B 1.34
O 0.0000 0.5000 0.0000 (multiplicity 4)  4 Li 2.10

# 2
## Rb2LiNdB2O6 (PBE)

Data for a relaxed Rb2LiNdB2O6 crystal.

Calculated values
Crystal system   orthorhombic
E_form (uncorrected)   -2.502 eV per atom
Final energy   -327.0 eV/cell

Unit cell a=7.2135 b=9.8351 c=10.2408 alpha=90.00 beta=90.00 gamma=90.00
Last column: nearest neighbours and their distance in Å.
Space group Pbcm (No. 57)
Symmetry-distinct sites (fractional):
Rb 0.2241 0.0826 0.0562 (multiplicity 8)  4 O 2.83-3.09
Li 0.0520 0.1514 0.7500 (multiplicity 4)  4 O 1.88-1.99
Nd 0.3596 0.7364 0.2500 (multiplicity 4)  8 O 2.40-2.67
B 0.1907 0.7500 0.0000 (multiplicity 4)  3 O 1.38-1.41
B 0.3455 0.0612 0.7500 (multiplicity 4)  3 O 1.39-1.40
O 0.1005 0.6963 0.6072 (multiplicity 8)  1 B 1.38
O 0.1917 0.5235 0.2500 (multiplicity 4)  1 B 1.39
O 0.3187 0.2019 0.7500 (multiplicity 4)  1 B 1.40
O 0.3857 0.7500 0.0000 (multiplicity 4)  1 B 1.41
O 0.4772 0.5060 0.7500 (multiplicity 4)  1 B 1.39

# 3
## LiNd2BPt6 (PBE)

Data for a relaxed LiNd2BPt6 crystal.

Calculated values
Crystal system   orthorhombic
Final energy   -124.8 eV/cell
Energy relative to the elements   -804 meV per atom

Unit cell a=5.6356 b=8.7618 c=7.4289 alpha=90.00 beta=90.00 gamma=90.00
Last column: nearest neighbours and their distance in Å.
Space group Pmmn (No. 59, origin choice 2)
Symmetry-distinct sites (fractional):
Li 0.2500 0.2500 0.1897 (multiplicity 2)  6 Pt 2.50-2.63
Nd 0.2500 0.5339 0.7913 (multiplicity 4)  9 Pt 3.00-3.23
B 0.2500 0.7500 0.3004 (multiplicity 2)  6 Pt 2.11-2.23
Pt 0.0012 0.7500 0.0881 (multiplicity 4)  1 B 2.11
Pt 0.0109 0.2500 0.4892 (multiplicity 4)  1 B 2.15
Pt 0.2500 0.5042 0.3769 (multiplicity 4)  1 B 2.23

> final energy of number 1 (Li2NdBO4)?

-214.4 eV/cell